This record from the Alexandria database describes LiMn3O4F2 after structural relaxation. The functional is PBE with a Hubbard U.

Values from the calculation:
Total moment = 12.00 μB/f.u.
Distance to the lowest polymorph of the same formula = 0 meV per atom

Cell: 5.086 5.200 5.434 Å, 114.05 94.16 117.79°
Element x y z (fractional)
Li: 0.000 0.000 0.000
Mn: 0.318 0.544 0.823
Mn: 0.527 0.980 0.457
Mn: 0.833 0.611 0.387
O: 0.231 0.055 0.617
O: 0.592 0.764 0.650
O: 0.688 0.765 0.166
O: 0.932 0.453 0.619
F: 0.079 0.451 0.105
F: 0.427 0.118 0.170